# PBE Tm2MgIn, optimized geometry
data_Tm2MgIn
_chemical_formula_sum 'Tm2 Mg1 In1'
_symmetry_space_group_name_H-M 'P 4/m m m'
_symmetry_Int_Tables_number 123
_symmetry_space_group_name_Hall '-P 4 2'
_cell_length_a 4.915
_cell_length_b 4.915
_cell_length_c 4.262
_cell_angle_alpha 90.00
_cell_angle_beta 90.00
_cell_angle_gamma 90.00
loop_
_atom_site_label
_atom_site_type_symbol
_atom_site_fract_x
_atom_site_fract_y
_atom_site_fract_z
Tm1 Tm 0.000 0.500 0.000
Mg1 Mg 0.000 0.000 0.500
In1 In 0.500 0.500 0.500
# ρ in kg/m3: 7693
# Energy above the lowest structure with this stoichiometry in eV/atom: 0.0046
# Calculated total energy in eV/cell: -14.41
# ΔE_f in meV per atom: -283.9
# V in Å³/atom: 25.7

# PBE AlSb2Au2, optimized geometry
data_AlSb2Au2
_chemical_formula_sum 'Al2 Sb4 Au4'
_symmetry_space_group_name_H-M 'P 4/m b m'
_symmetry_Int_Tables_number 127
_symmetry_space_group_name_Hall '-P 4 2ab'
_cell_length_a 6.889
_cell_length_b 6.889
_cell_length_c 4.733
_cell_angle_alpha 90.00
_cell_angle_beta 90.00
_cell_angle_gamma 90.00
loop_
_atom_site_label
_atom_site_type_symbol
_atom_site_fract_x
_atom_site_fract_y
_atom_site_fract_z
Al1 Al 0.000 0.000 0.000
Sb1 Sb 0.172 0.328 0.500
Au1 Au 0.148 0.648 0.000
# ρ in kg/m3: 9825
# Energy above the lowest structure with this stoichiometry in eV/atom: 0.0000
# Calculated total energy in eV/cell: -36.37
# Formation energy (no corrections) in kcal/mol of atoms: 1.6
# V in Å³/atom: 22.5